1.
MgScOsO6 | PBE-GGA | optimized geometry Values from VASP.

```
&SYSTEM
  ibrav = 0, nat = 18, ntyp = 4
/
ATOMIC_SPECIES
Mg 24.30 Mg.upf
Sc 44.96 Sc.upf
Os 190.23 Os.upf
O 16.00 O.upf
ATOMIC_POSITIONS crystal
Mg 0.0000 0.0000 0.0000
Mg 0.0000 0.0000 0.5000
Sc 0.3333 0.6667 0.2500
Sc 0.6667 0.3333 0.7500
Os 0.6667 0.3333 0.2500
Os 0.3333 0.6667 0.7500
O 0.6680 0.6392 0.1314
O 0.9712 0.3320 0.1314
O 0.3320 0.9712 0.6314
O 0.0288 0.6680 0.8686
O 0.3608 0.3320 0.3686
O 0.9712 0.6392 0.3686
O 0.6392 0.9712 0.8686
O 0.6680 0.0288 0.3686
O 0.0288 0.3608 0.6314
O 0.3608 0.0288 0.1314
O 0.6392 0.6680 0.6314
O 0.3320 0.3608 0.8686
CELL_PARAMETERS angstrom
5.1922 0.0000 0.0000
-2.5961 4.4965 0.0000
0.0000 0.0000 8.9778
```

Calculated values
N(E_F): 7.1 states/eV per cell
calculated volume: 11.6 Å³/atom
energy: -7.41 eV per atom

***

2.
Pr3Cd2Pt3 | PBE-GGA | optimized geometry Values from VASP.

```
&SYSTEM
  ibrav = 0, nat = 16, ntyp = 3
/
ATOMIC_SPECIES
Pr 140.91 Pr.upf
Cd 112.41 Cd.upf
Pt 195.08 Pt.upf
ATOMIC_POSITIONS crystal
Pr 0.7500 0.2841 0.0000
Pr 0.7500 0.7159 0.7159
Pr 0.7500 0.0000 0.2841
Pr 0.2500 0.7159 0.0000
Pr 0.2500 0.2841 0.2841
Pr 0.2500 0.0000 0.7159
Cd 0.0000 0.3333 0.6667
Cd 0.5000 0.6667 0.3333
Cd 0.0000 0.6667 0.3333
Cd 0.5000 0.3333 0.6667
Pt 0.7500 0.6214 0.0000
Pt 0.7500 0.3786 0.3786
Pt 0.7500 0.0000 0.6214
Pt 0.2500 0.3786 0.0000
Pt 0.2500 0.6214 0.6214
Pt 0.2500 0.0000 0.3786
CELL_PARAMETERS angstrom
5.9670 0.0000 0.0000
0.0000 7.5695 -4.3703
0.0000 0.0000 8.7406
```

Calculated values
N(E_F): 10.1 states/eV per cell
calculated volume: 24.7 Å³/atom
energy: -5.11 eV per atom

***

3.
EuDySe | PBE-GGA | optimized geometry Values from VASP.

```
&SYSTEM
  ibrav = 0, nat = 3, ntyp = 3
/
ATOMIC_SPECIES
Eu 151.96 Eu.upf
Se 78.96 Se.upf
Dy 162.50 Dy.upf
ATOMIC_POSITIONS crystal
Eu 0.0000 0.0000 0.0555
Se 0.6667 0.3333 0.3438
Dy 0.3333 0.6667 0.6007
CELL_PARAMETERS angstrom
3.9729 0.0000 0.0000
-1.9864 3.4406 0.0000
0.0000 0.0000 6.7964
```

Calculated values
N(E_F): 4.9 states/eV per cell
calculated volume: 31.0 Å³/atom
energy: -7.24 eV per atom

***

4.
BeCdAg2Ir | PBE-GGA | optimized geometry Values from VASP.

```
&SYSTEM
  ibrav = 0, nat = 5, ntyp = 4
/
ATOMIC_SPECIES
Be 9.01 Be.upf
Ir 192.22 Ir.upf
Ag 107.87 Ag.upf
Cd 112.41 Cd.upf
ATOMIC_POSITIONS crystal
Be 0.0000 0.5000 0.0000
Ir 0.0000 0.0000 0.0000
Ag 0.0000 0.0000 0.5000
Ag 0.5000 0.0000 0.0000
Cd 0.5000 0.5000 0.5000
CELL_PARAMETERS angstrom
5.1421 0.0000 0.0000
0.0000 4.1117 0.0000
0.0000 0.0000 5.1421
```

Calculated values
N(E_F): 3.1 states/eV per cell
calculated volume: 21.7 Å³/atom
energy: -3.08 eV per atom

***

5.
Dy5Ag2Hg2 | PBE-GGA | optimized geometry Values from VASP.

```
&SYSTEM
  ibrav = 0, nat = 18, ntyp = 3
/
ATOMIC_SPECIES
Dy 162.50 Dy.upf
Ag 107.87 Ag.upf
Hg 200.59 Hg.upf
ATOMIC_POSITIONS crystal
Dy 0.0000 0.0000 0.0000
Dy 0.5000 0.5000 0.0000
Dy 0.8283 0.8157 0.2757
Dy 0.1717 0.4600 0.2757
Dy 0.3283 0.9600 0.2757
Dy 0.6717 0.3157 0.2757
Dy 0.1717 0.1843 0.7243
Dy 0.8283 0.5400 0.7243
Dy 0.6717 0.0400 0.7243
Dy 0.3283 0.6843 0.7243
Ag 0.6308 0.8726 0.0000
Ag 0.3692 0.1274 0.0000
Ag 0.1308 0.6274 0.0000
Ag 0.8692 0.3726 0.0000
Hg 0.0000 0.2166 0.4332
Hg 0.5000 0.7166 0.4332
Hg 0.0000 0.7834 0.5668
Hg 0.5000 0.2834 0.5668
CELL_PARAMETERS angstrom
7.5889 0.0000 0.0000
0.0000 7.5040 0.0000
0.0000 -3.7520 8.4500
```

Calculated values
N(E_F): 18.9 states/eV per cell
calculated volume: 26.7 Å³/atom
energy: -3.55 eV per atom

***

6.
Pr2Zn5IrRh2 | PBE-GGA | optimized geometry Values from VASP.

```
&SYSTEM
  ibrav = 0, nat = 20, ntyp = 4
/
ATOMIC_SPECIES
Pr 140.91 Pr.upf
Zn 65.41 Zn.upf
Ir 192.22 Ir.upf
Rh 102.91 Rh.upf
ATOMIC_POSITIONS crystal
Pr 0.0000 0.6785 0.1785
Pr 0.0000 0.3215 0.8215
Pr 0.0000 0.1785 0.3215
Pr 0.0000 0.8215 0.6785
Zn 0.5000 0.1876 0.0529
Zn 0.5000 0.8124 0.9471
Zn 0.5000 0.0529 0.8124
Zn 0.5000 0.6876 0.4471
Zn 0.5000 0.9471 0.1876
Zn 0.5000 0.3124 0.5529
Zn 0.5000 0.5529 0.6876
Zn 0.5000 0.4471 0.3124
Zn 0.5000 0.5000 0.0000
Zn 0.5000 0.0000 0.5000
Ir 0.0000 0.0000 0.0000
Ir 0.0000 0.5000 0.5000
Rh 0.0000 0.1248 0.6248
Rh 0.0000 0.8752 0.3752
Rh 0.0000 0.6248 0.8752
Rh 0.0000 0.3752 0.1248
CELL_PARAMETERS angstrom
-0.7419 -3.5439 -1.0467
7.5362 -3.1837 5.4377
-5.9971 -1.0227 7.7128
```

Calculated values
N(E_F): 10.8 states/eV per cell
calculated volume: 18.2 Å³/atom
energy: -4.31 eV per atom

***

7.
Ni2Te2Cl | PBE-GGA | optimized geometry Values from VASP.

```
&SYSTEM
  ibrav = 0, nat = 5, ntyp = 3
/
ATOMIC_SPECIES
Ni 58.69 Ni.upf
Te 127.60 Te.upf
Cl 35.45 Cl.upf
ATOMIC_POSITIONS crystal
Ni 0.7500 0.2500 0.5000
Ni 0.2500 0.7500 0.5000
Te 0.3617 0.3617 0.2766
Te 0.6383 0.6383 0.7234
Cl 0.0000 0.0000 0.0000
CELL_PARAMETERS angstrom
3.7572 0.0000 0.0000
0.0000 3.7572 0.0000
1.8786 1.8786 7.5255
```

Calculated values
N(E_F): 6.1 states/eV per cell
calculated volume: 21.2 Å³/atom
energy: -4.17 eV per atom

***

8.
MgNi | PBE-GGA | optimized geometry Values from VASP.

```
&SYSTEM
  ibrav = 0, nat = 2, ntyp = 2
/
ATOMIC_SPECIES
Ni 58.69 Ni.upf
Mg 24.30 Mg.upf
ATOMIC_POSITIONS crystal
Ni 0.0000 0.0000 0.0000
Mg 0.5000 0.5000 0.5000
CELL_PARAMETERS angstrom
-0.1254 0.9373 -2.7448
-2.8452 -0.5732 -0.0658
-0.6502 3.1024 1.0891
```

Calculated values
N(E_F): 0.8 states/eV per cell
calculated volume: 14.1 Å³/atom
energy: -3.83 eV per atom